No. 1
A plane-wave DFT calculation with PBE-GGA was carried out for a relaxed Sm3ScCd4 crystal.

- Calculated formation energy: -300 meV per atom
- Crystal system: tetragonal
- D(E_F): 1.187 states/eV per atom

Unit cell a=3.7009 b=3.7009 c=15.3722 alpha=90.00 beta=90.00 gamma=90.00
Last column: nearest neighbours and their distance in Å.
Sites, in units of the cell vectors:
Sm  0.0000  0.0000  0.0000  8 Cd 3.28
Sm  0.0000  0.0000  0.2598  8 Cd 3.30-3.33, 1 Sc 3.69
Sm  0.0000  0.0000  0.7402  8 Cd 3.30-3.33, 1 Sc 3.69
Sc  0.0000  0.0000  0.5000  8 Cd 3.09
Cd  0.5000  0.5000  0.1290  8 Sm 3.28-3.30
Cd  0.5000  0.5000  0.3936  4 Sc 3.09, 1 Cd 3.27, 4 Sm 3.33
Cd  0.5000  0.5000  0.6064  4 Sc 3.09, 1 Cd 3.27, 4 Sm 3.33
Cd  0.5000  0.5000  0.8710  8 Sm 3.28-3.30

***

No. 2
A plane-wave DFT calculation with PBE-GGA was carried out for a relaxed Y4CuRh2 crystal.

- Calculated formation energy: -557 meV per atom
- Crystal system: trigonal
- D(E_F): 0.861 states/eV per atom

Unit cell a=8.4111 b=8.4111 c=8.4111 alpha=33.61 beta=33.61 gamma=33.61
Last column: nearest neighbours and their distance in Å.
Sites, in units of the cell vectors:
Y  0.1232  0.1232  0.1232  4 Rh 2.95-2.98, 3 Cu 2.99
Y  0.3738  0.3738  0.3738  4 Rh 2.98-3.00, 1 Cu 3.00
Y  0.6262  0.6262  0.6262  4 Rh 2.98-3.00, 1 Cu 3.00
Y  0.8768  0.8768  0.8768  4 Rh 2.95-2.98, 3 Cu 2.99
Cu  0.5000  0.5000  0.5000  8 Y 2.99-3.00
Rh  0.2486  0.2486  0.2486  8 Y 2.95-3.00
Rh  0.7514  0.7514  0.7514  8 Y 2.95-3.00

***

No. 3
A plane-wave DFT calculation with PBE-GGA was carried out for a relaxed LiCuHgB2 crystal.

- Calculated formation energy: 911 meV per atom
- Crystal system: tetragonal
- D(E_F): 0.316 states/eV per atom

Unit cell a=3.8354 b=3.8354 c=5.4287 alpha=90.00 beta=90.00 gamma=90.00
Last column: nearest neighbours and their distance in Å.
Sites, in units of the cell vectors:
Li  0.0000  0.0000  0.0000  4 Hg 2.71
Cu  0.5000  0.5000  0.5000  4 B 1.92
Hg  0.5000  0.5000  0.0000  4 Li 2.71, 2 Cu 2.71
B  0.0000  0.5000  0.5000  2 Cu 1.92
B  0.5000  0.0000  0.5000  2 Cu 1.92

***

No. 4
A plane-wave DFT calculation with PBE-GGA was carried out for a relaxed Tb2ScRh crystal.

- Calculated formation energy: -412 meV per atom
- Crystal system: orthorhombic
- E above lowest polymorph: 0.0 meV per atom
- D(E_F): 1.128 states/eV per atom

Unit cell a=3.3905 b=3.4225 c=8.4198 alpha=90.00 beta=90.00 gamma=90.00
Last column: nearest neighbours and their distance in Å.
Sites, in units of the cell vectors:
Tb  0.0000  0.0000  0.0000  4 Rh 2.99, 1 Sc 3.18
Tb  0.5000  0.5000  0.3255  8 Tb 3.39-3.65, 4 Sc 3.47
Sc  0.0000  0.0000  0.6221  4 Rh 2.79
Rh  0.5000  0.5000  0.7897  4 Sc 2.79, 4 Tb 2.99

***

No. 5
A plane-wave DFT calculation with PBE-GGA was carried out for a relaxed Be2AlAg crystal.

- Calculated formation energy: 229 meV per atom
- Crystal system: tetragonal
- D(E_F): 0.177 states/eV per atom

Unit cell a=3.7862 b=3.7862 c=3.5365 alpha=90.00 beta=90.00 gamma=90.00
Last column: nearest neighbours and their distance in Å.
Sites, in units of the cell vectors:
Be  0.0000  0.5000  0.0000  4 Al 2.59, 4 Ag 2.59, 4 Be 2.68
Be  0.5000  0.0000  0.0000  4 Al 2.59, 4 Ag 2.59, 4 Be 2.68
Al  0.0000  0.0000  0.5000  8 Be 2.59, 4 Ag 2.68
Ag  0.5000  0.5000  0.5000  8 Be 2.59, 4 Al 2.68

***

No. 6
A plane-wave DFT calculation with PBE-GGA was carried out for a relaxed CsTlSb2 crystal.

- Raw formation energy: 1.0 eV/f.u.
- Crystal system: cubic
- E above lowest polymorph: 478.2 meV per atom
- D(E_F): 1.042 states/eV per atom

Unit cell a=5.8822 b=5.8822 c=5.8822 alpha=60.00 beta=60.00 gamma=60.00
Last column: nearest neighbours and their distance in Å.
Sites, in units of the cell vectors:
Cs  0.0000  0.0000  0.0000  8 Sb 3.60
Tl  0.5000  0.5000  0.5000  8 Sb 3.60
Sb  0.2500  0.2500  0.2500  4 Tl 3.60, 4 Cs 3.60
Sb  0.7500  0.7500  0.7500  4 Tl 3.60, 4 Cs 3.60

***

No. 7
A plane-wave DFT calculation with PBE-GGA was carried out for a relaxed TaCr2Ag2S6 crystal.

- Raw formation energy: -6.0 eV/f.u.
- Crystal system: monoclinic
- D(E_F): 0.507 states/eV per atom

Unit cell a=5.7567 b=5.7567 c=7.8311 alpha=98.01 beta=98.01 gamma=120.88
Last column: nearest neighbours and their distance in Å.
Sites, in units of the cell vectors:
Ta  0.0000  0.0000  0.0000  6 S 2.45-2.49
Cr  0.3632  0.6368  0.0000  6 S 2.26-2.49
Cr  0.6368  0.3632  0.0000  6 S 2.26-2.49
Ag  0.1842  0.8158  0.5000  2 S 2.41
Ag  0.8158  0.1842  0.5000  2 S 2.41
S  0.0766  0.7196  0.1802  2 Cr 2.34-2.49, 1 Ag 2.41, 1 Ta 2.45
S  0.2804  0.9234  0.8198  2 Cr 2.34-2.49, 1 Ag 2.41, 1 Ta 2.45
S  0.4227  0.4227  0.2077  2 Cr 2.26, 1 Ta 2.49
S  0.5773  0.5773  0.7923  2 Cr 2.26, 1 Ta 2.49
S  0.7196  0.0766  0.1802  2 Cr 2.34-2.49, 1 Ag 2.41, 1 Ta 2.45
S  0.9234  0.2804  0.8198  2 Cr 2.34-2.49, 1 Ag 2.41, 1 Ta 2.45

***

No. 8
A plane-wave DFT calculation with PBE-GGA was carried out for a relaxed SrPdSe crystal.

- Raw formation energy: -3.3 eV/f.u.
- Crystal system: triclinic

Unit cell a=4.5266 b=5.9195 c=6.6301 alpha=87.89 beta=82.05 gamma=67.75
Last column: nearest neighbours and their distance in Å.
Sites, in units of the cell vectors:
Sr  0.0000  0.0000  0.0000  4 Pd 3.07-3.29, 5 Se 3.16-3.32
Sr  0.3596  0.4625  0.5782  3 Pd 2.97-3.25, 3 Se 3.12-3.27
Pd  0.7149  0.5777  0.9320  3 Se 2.58-2.64, 1 Pd 2.86
Pd  0.8264  0.6736  0.3278  2 Se 2.45-2.51
Se  0.2741  0.4047  0.0729  3 Pd 2.51-2.64
Se  0.6022  0.9010  0.6499  2 Pd 2.45-2.58

***

No. 9
A plane-wave DFT calculation with PBE-GGA was carried out for a relaxed NdTm2Nb crystal.

- Calculated formation energy: 542 meV per atom
- Crystal system: trigonal
- D(E_F): 1.453 states/eV per atom

Unit cell a=11.8434 b=11.8434 c=11.8434 alpha=15.99 beta=15.99 gamma=15.99
Last column: nearest neighbours and their distance in Å.
Sites, in units of the cell vectors:
Nd  0.0000  0.0000  0.0000  6 Nd 3.29, 6 Tm 3.52
Tm  0.4179  0.4179  0.4179  1 Nb 2.88
Tm  0.5821  0.5821  0.5821  1 Nb 2.88
Nb  0.5000  0.5000  0.5000  2 Tm 2.88

***

No. 10
A plane-wave DFT calculation with PBE-GGA was carried out for a relaxed Sm3Dy4Th crystal.

- Calculated formation energy: 22 meV per atom
- Crystal system: monoclinic
- E above lowest polymorph: 0.0 meV per atom
- D(E_F): 1.355 states/eV per atom

Unit cell a=6.2012 b=3.5885 c=11.8091 alpha=90.00 beta=100.24 gamma=90.00
Last column: nearest neighbours and their distance in Å.
Sites, in units of the cell vectors:
Sm  0.0000  0.0000  0.0000  6 Dy 3.55-3.56, 4 Th 3.58, 2 Sm 3.59
Sm  0.0000  0.5000  0.5000  6 Sm 3.58-3.59, 6 Dy 3.60-3.61
Sm  0.5000  0.0000  0.5000  6 Dy 3.57-3.59, 6 Sm 3.58-3.59
Dy  0.2539  0.5000  0.2488  6 Dy 3.53-3.63, 1 Th 3.54, 5 Sm 3.56-3.60
Dy  0.2561  0.0000  0.7539  2 Th 3.52, 6 Dy 3.53-3.63, 4 Sm 3.55-3.61
Dy  0.7439  0.0000  0.2461  2 Th 3.52, 6 Dy 3.53-3.63, 4 Sm 3.55-3.61
Dy  0.7461  0.5000  0.7512  6 Dy 3.53-3.63, 1 Th 3.54, 5 Sm 3.56-3.60
Th  0.5000  0.5000  0.0000  6 Dy 3.52-3.54, 4 Sm 3.58, 2 Th 3.59

***

No. 11
A plane-wave DFT calculation with PBE-GGA was carried out for a relaxed CeErBeAl crystal.

- Calculated formation energy: -78 meV per atom
- Crystal system: cubic
- D(E_F): 0.841 states/eV per atom

Unit cell a=4.9736 b=4.9736 c=4.9736 alpha=60.00 beta=60.00 gamma=60.00
Last column: nearest neighbours and their distance in Å.
Sites, in units of the cell vectors:
Ce  0.0000  0.0000  0.0000  4 Be 3.05, 4 Al 3.05
Er  0.5000  0.5000  0.5000  4 Be 3.05, 4 Al 3.05
Be  0.7500  0.7500  0.7500  4 Ce 3.05, 4 Er 3.05
Al  0.2500  0.2500  0.2500  4 Ce 3.05, 4 Er 3.05

***

No. 12
A plane-wave DFT calculation with PBE-GGA was carried out for a relaxed Sc2CuBi2 crystal.

- Calculated formation energy: -222 meV per atom
- Crystal system: tetragonal
- E above lowest polymorph: 0.0 meV per atom
- D(E_F): 1.218 states/eV per atom

Unit cell a=7.4918 b=7.4918 c=4.2984 alpha=90.00 beta=90.00 gamma=90.00
Last column: nearest neighbours and their distance in Å.
Sites, in units of the cell vectors:
Sc  0.1531  0.3469  0.0000  2 Cu 2.84, 2 Bi 2.91
Sc  0.3469  0.8469  0.0000  2 Cu 2.84, 2 Bi 2.91
Sc  0.6531  0.1531  0.0000  2 Cu 2.84, 2 Bi 2.91
Sc  0.8469  0.6531  0.0000  2 Cu 2.84, 2 Bi 2.91
Cu  0.0000  0.0000  0.0000  4 Sc 2.84
Cu  0.5000  0.5000  0.0000  4 Sc 2.84
Bi  0.1614  0.6614  0.5000  6 Sc 2.91-3.19
Bi  0.3386  0.1614  0.5000  6 Sc 2.91-3.19
Bi  0.6614  0.8386  0.5000  6 Sc 2.91-3.19
Bi  0.8386  0.3386  0.5000  6 Sc 2.91-3.19

***

No. 13
A plane-wave DFT calculation with PBE-GGA was carried out for a relaxed HoHI crystal.

- Crystal system: orthorhombic
- E_tot: -45.37 eV per cell
- D(E_F): 0.598 states/eV per atom

Unit cell a=7.6365 b=7.1621 c=9.3271 alpha=53.23 beta=48.70 gamma=78.07
Last column: nearest neighbours and their distance in Å.
Sites, in units of the cell vectors:
Ho  0.1868  0.8132  0.4344  3 H 2.20-2.22
Ho  0.6844  0.8156  0.4368  3 H 2.20-2.22
Ho  0.8132  0.1868  0.5656  3 H 2.20-2.22
Ho  0.8156  0.6844  0.0632  3 H 2.20-2.22
H  0.5606  0.8021  0.2864  3 Ho 2.20-2.22, 1 H 2.38
H  0.8021  0.5606  0.3509  3 Ho 2.20-2.22, 1 H 2.38
H  0.8991  0.9636  0.4479  3 Ho 2.20-2.22, 1 H 2.38
H  0.9636  0.8991  0.6894  3 Ho 2.20-2.22, 1 H 2.38
I  0.3054  0.4698  0.3072  3 Ho 3.05-3.07, 2 H 3.22-3.30
I  0.3325  0.9428  0.7802  3 Ho 3.05-3.07, 2 H 3.22-3.30
I  0.4698  0.3054  0.9175  3 Ho 3.05-3.07, 2 H 3.22-3.30
I  0.9428  0.3325  0.9446  3 Ho 3.05-3.07, 2 H 3.22-3.30

***

| no. | total magnetic moment (μB per formula unit) |
| --- | --- |
| 1 | 1.26 |
| 2 | 0.00 |
| 3 | 0.00 |
| 4 | 0.00 |
| 5 | 0.00 |
| 6 | 0.00 |
| 7 | 2.26 |
| 8 | 0.00 |
| 9 | 0.59 |
| 10 | 0.00 |
| 11 | 0.17 |
| 12 | 0.00 |
| 13 | 0.00 |